(1)
! CeMgPd2 (GGA-PBE, relaxed); values from VASP
&SYSTEM
  ibrav = 0, nat = 4, ntyp = 3
/
ATOMIC_SPECIES
Ce 140.12 Ce.upf
Mg 24.30 Mg.upf
Pd 106.42 Pd.upf
CELL_PARAMETERS angstrom
4.891 0.000 0.000
0.000 4.891 0.000
0.000 0.000 3.316
ATOMIC_POSITIONS crystal
Ce 0.000 0.000 0.000
Mg 0.500 0.500 0.000
Pd 0.000 0.500 0.500
Pd 0.500 0.000 0.500
! Spin magnetization, μB per formula unit: 0.81
! Formation enthalpy at 0 K, eV per atom: -0.62
! SG: P4/mmm
! Calculated density, g/cm³: 7.9



(2)
! LiAsS2N (GGA-PBE, relaxed); values from VASP
&SYSTEM
  ibrav = 0, nat = 5, ntyp = 4
/
ATOMIC_SPECIES
Li 6.94 Li.upf
As 74.92 As.upf
S 32.06 S.upf
N 14.01 N.upf
CELL_PARAMETERS angstrom
4.558 0.000 0.000
0.000 4.558 0.000
0.000 0.000 3.509
ATOMIC_POSITIONS crystal
Li 0.000 0.000 0.000
As 0.500 0.500 0.500
S 0.000 0.500 0.000
S 0.500 0.000 0.000
N 0.000 0.000 0.500
! Spin magnetization, μB per formula unit: 0.18
! E above lowest polymorph, meV/atom: 551.2
! SG: P4/mmm
! Uncorrected formation energy, kJ/mol of atoms: 102.5
! Calculated density, g/cm³: 3.6



(3)
! Tb5YIn3 (GGA-PBE, relaxed); values from VASP
&SYSTEM
  ibrav = 0, nat = 18, ntyp = 3
/
ATOMIC_SPECIES
Tb 158.93 Tb.upf
Y 88.91 Y.upf
In 114.82 In.upf
CELL_PARAMETERS angstrom
9.375 0.000 0.000
-4.688 8.119 0.000
0.000 0.000 6.761
ATOMIC_POSITIONS crystal
Tb 0.000 0.336 0.250
Tb 0.000 0.664 0.750
Tb 0.333 0.667 0.000
Tb 0.333 0.667 0.500
Tb 0.336 0.000 0.250
Tb 0.336 0.336 0.750
Tb 0.664 0.000 0.750
Tb 0.664 0.664 0.250
Tb 0.667 0.333 0.000
Tb 0.667 0.333 0.500
Y 0.000 0.000 0.000
Y 0.000 0.000 0.500
In 0.000 0.330 0.750
In 0.000 0.670 0.250
In 0.330 0.000 0.750
In 0.330 0.330 0.250
In 0.670 0.000 0.250
In 0.670 0.670 0.750
! Spin magnetization, μB per formula unit: 0.62
! Formation enthalpy at 0 K, eV per atom: -0.36
! SG: P6_3/mcm
! Calculated density, g/cm³: 7.9



(4)
! Mn2PdRhN (GGA-PBE, relaxed); values from VASP
&SYSTEM
  ibrav = 0, nat = 5, ntyp = 4
/
ATOMIC_SPECIES
Mn 54.94 Mn.upf
Pd 106.42 Pd.upf
Rh 102.91 Rh.upf
N 14.01 N.upf
CELL_PARAMETERS angstrom
4.017 0.000 0.000
0.000 4.017 0.000
0.000 0.000 3.998
ATOMIC_POSITIONS crystal
Mn 0.000 0.500 0.000
Mn 0.500 0.000 0.000
Pd 0.000 0.000 0.500
Rh 0.500 0.500 0.500
N 0.500 0.500 0.000
! Spin magnetization, μB per formula unit: 7.37
! SG: P4/mmm
! Uncorrected formation energy, kJ/mol of atoms: -14.3
! Calculated density, g/cm³: 8.6



(5)
! SrTa2Zn (GGA-PBE, relaxed); values from VASP
&SYSTEM
  ibrav = 0, nat = 4, ntyp = 3
/
ATOMIC_SPECIES
Sr 87.62 Sr.upf
Ta 180.95 Ta.upf
Zn 65.41 Zn.upf
CELL_PARAMETERS angstrom
1.506 0.869 10.625
-1.506 0.869 10.625
0.000 -1.739 10.625
ATOMIC_POSITIONS crystal
Sr 0.000 0.000 0.000
Ta 0.239 0.239 0.239
Ta 0.761 0.761 0.761
Zn 0.500 0.500 0.500
! Spin magnetization, μB per formula unit: 0.00
! Formation enthalpy at 0 K, eV per atom: 0.77
! SG: R-3m
! Calculated density, g/cm³: 10.2



(6)
! LuMgPd2 (GGA-PBE, relaxed); values from VASP
&SYSTEM
  ibrav = 0, nat = 4, ntyp = 3
/
ATOMIC_SPECIES
Lu 174.97 Lu.upf
Mg 24.30 Mg.upf
Pd 106.42 Pd.upf
CELL_PARAMETERS angstrom
0.000 3.329 3.329
3.329 0.000 3.329
3.329 3.329 0.000
ATOMIC_POSITIONS crystal
Lu 0.000 0.000 0.000
Mg 0.500 0.500 0.500
Pd 0.250 0.250 0.250
Pd 0.750 0.750 0.750
! Spin magnetization, μB per formula unit: 0.00
! Formation enthalpy at 0 K, eV per atom: -0.86
! SG: Fm-3m
! Calculated density, g/cm³: 9.3